This record from Alexandria describes Nd3Mg5In2 after structural relaxation. The functional is PBE.

Calculated values
Formation energy from the elements ... -116 meV per atom
SG ... No. 72
DFT total energy ... -2.8915 eV per atom

abc: 9.921 9.921 9.921
angles: 99.28 92.63 142.44
Positions (direct):
Nd (0.246, 0.124, 0.370)
Nd (0.250, 0.250, 0.000)
Nd (0.254, 0.624, 0.878)
Nd (0.746, 0.376, 0.122)
Nd (0.750, 0.750, 0.000)
Nd (0.754, 0.876, 0.630)
Mg (0.145, 0.380, 0.525)
Mg (0.250, 0.506, 0.256)
Mg (0.250, 0.750, 0.500)
Mg (0.250, 0.994, 0.744)
Mg (0.355, 0.880, 0.235)
Mg (0.645, 0.120, 0.765)
Mg (0.750, 0.006, 0.256)
Mg (0.750, 0.250, 0.500)
Mg (0.750, 0.494, 0.744)
Mg (0.855, 0.620, 0.475)
In (0.155, 0.861, 0.015)
In (0.345, 0.361, 0.706)
In (0.655, 0.639, 0.294)
In (0.845, 0.139, 0.985)

***

This record from Alexandria describes Cs2NaCdAs after structural relaxation. The functional is PBE.

Calculated values
Formation energy from the elements ... -93 meV per atom
SG ... No. 123
DFT total energy ... -1.8109 eV per atom

abc: 7.195 7.195 5.587
angles: 90.00 90.00 90.00
Positions (direct):
Cs (0.000, 0.500, 0.000)
Cs (0.500, 0.000, 0.000)
Na (0.000, 0.000, 0.500)
Cd (0.500, 0.500, 0.500)
As (0.000, 0.000, 0.000)

***

This record from Alexandria describes Ti8In3Sn2 after structural relaxation. The functional is PBE.

Calculated values
Formation energy from the elements ... 139 meV per atom
SG ... No. 65
DFT total energy ... -5.9676 eV per atom

abc: 8.626 8.626 4.165
angles: 90.00 90.00 116.93
Positions (direct):
Ti (0.108, 0.892, 0.000)
Ti (0.126, 0.400, 0.500)
Ti (0.360, 0.640, 0.000)
Ti (0.400, 0.126, 0.500)
Ti (0.600, 0.874, 0.500)
Ti (0.640, 0.360, 0.000)
Ti (0.874, 0.600, 0.500)
Ti (0.892, 0.108, 0.000)
In (0.256, 0.256, 0.000)
In (0.500, 0.500, 0.500)
In (0.744, 0.744, 0.000)
Sn (0.235, 0.765, 0.500)
Sn (0.765, 0.235, 0.500)

***

> The highest formation energy from the elements belongs to which entry?

Ti8In3Sn2

***

> DFT total energy of number 2 (Cs2NaCdAs)?

-1.8109 eV per atom

***

> Which formula does entry 3 have?

Ti8In3Sn2